DFT (PBE-GGA) results for an optimized crystal structure of GaGeS4.

POSCAR file:
```
GaGeS4
1.0
-2.044 4.941 0.864
-1.163 0.441 -5.272
-2.751 -4.632 3.002
Ga Ge S
1 1 4
Direct
0.750 0.250 0.500
0.500 0.500 0.000
0.373 0.865 0.251
0.879 0.386 0.251
0.135 0.121 0.749
0.614 0.627 0.749
```

As for the space group: I-4 (82). Its spin magnetization is 0.99 μB per cell. For the formation energy (no corrections), the calculation gives -0.263 eV/atom. The calculation puts the density of states at the Fermi level at 0.8034 states/eV/atom. The calculated total energy comes out at -25.7 eV per cell.